Compound: CeHfMo
Source: Alexandria
Functional: GGA-PBE
Structure: relaxed

a b c (Å): 4.547 4.547 8.578
angles (deg): 74.63 74.63 60.00
Fractional positions:
Hf  0.633  0.633  0.102
Hf  0.367  0.367  0.898
Mo  0.250  0.250  0.249
Mo  0.750  0.750  0.751
Ce  0.885  0.885  0.345
Ce  0.115  0.115  0.655

Values from the calculation:
E in eV/atom: -8.59
Energy of formation in eV per atom: 0.318
Magnetization in μB per formula unit: 0.00